## w
DFT (PBE-GGA) results for a relaxed structure of Hg3Ru.

Computed properties:
**Total magnetic moment**: 0.0 μB per cell
**Fermi-level density of states**: 0.467 states/eV per atom

Lattice parameters (Å, degrees): 4.607 5.920 5.854 90.00 90.00 90.00
Space group Pmmn (No. 59, origin choice 2)
One atom of each set of equivalent atoms:
Hg: 0.250 0.001 0.153
Hg: 0.250 0.750 0.614
Ru: 0.250 0.250 0.677

=====

## x
DFT (PBE-GGA) results for a relaxed structure of Hg3Ru.

Computed properties:
**Total magnetic moment**: 2.4 μB per cell
**Fermi-level density of states**: 0.540 states/eV per atom

Lattice parameters (Å, degrees): 3.078 9.688 5.448 90.00 90.00 90.00
Space group Imm2 (No. 44)
One atom of each set of equivalent atoms:
Hg: 0.000 0.000 0.000
Hg: 0.000 0.227 0.636
Ru: 0.000 0.500 0.940

=====

## y
DFT (PBE-GGA) results for a relaxed structure of Hg3Ru.

Computed properties:
**Total magnetic moment**: 3.0 μB per cell
**Fermi-level density of states**: 0.670 states/eV per atom

Lattice parameters (Å, degrees): 3.0656 3.0656 30.4598 90.00 90.00 120.00
Space group R-3m (No. 166, hexagonal axes)
One atom of each set of equivalent atoms:
Hg: 0.0000 0.0000 0.0000
Hg: 0.0000 0.0000 0.2409
Ru: 0.0000 0.0000 0.5000

=====

## z
DFT (PBE-GGA) results for a relaxed structure of Hg3Ru.

Computed properties:
**Total magnetic moment**: 1.6 μB per cell
**Fermi-level density of states**: 0.904 states/eV per atom

Lattice parameters (Å, degrees): 5.479 5.479 5.479 90.00 90.00 90.00
Space group Pm-3n (No. 223)
One atom of each set of equivalent atoms:
Hg: 0.000 0.250 0.500
Ru: 0.000 0.000 0.000

=====

In terms of stability, x leads; the second structure lies 2.2 kJ/mol of atoms higher.

=====

## w
DFT (PBE-GGA) results for a relaxed structure of Hg3Ru.

Computed properties:
**Total magnetic moment**: 2.4 μB per cell
**Fermi-level density of states**: 0.679 states/eV per atom

Lattice parameters (Å, degrees): 6.796 6.796 6.796 90.00 90.00 90.00
Space group Fm-3m (No. 225)
One atom of each set of equivalent atoms:
Hg: 0.000 0.000 0.000
Hg: 0.250 0.250 0.250
Ru: 0.000 0.000 0.500

=====

## x
DFT (PBE-GGA) results for a relaxed structure of Hg3Ru.

Computed properties:
**Total magnetic moment**: 0.0 μB per cell
**Fermi-level density of states**: 0.608 states/eV per atom

Lattice parameters (Å, degrees): 4.260 4.260 4.260 90.00 90.00 90.00
Space group Pm-3m (No. 221)
One atom of each set of equivalent atoms:
Hg: 0.000 0.000 0.500
Ru: 0.500 0.500 0.500

=====

## y
DFT (PBE-GGA) results for a relaxed structure of Hg3Ru.

Computed properties:
**Total magnetic moment**: 1.3 μB per cell
**Fermi-level density of states**: 0.840 states/eV per atom

Lattice parameters (Å, degrees): 3.049 3.049 9.034 90.00 90.00 90.00
Space group P4/mmm (No. 123)
One atom of each set of equivalent atoms:
Hg: 0.000 0.000 0.000
Hg: 0.500 0.500 0.288
Ru: 0.000 0.000 0.500

=====

In terms of stability, x leads; the second structure lies 1.9 kJ/mol of atoms higher.